VASP calculation (PBE-GGA) on crystalline Pm6Si2SbSe3 at its relaxed geometry.

Output
- ΔE_f (raw): -1.390 eV/atom
- Space group: C2/m (12)
- V: 27.77 Å³/atom
- Electronic total energy: -5.884 eV/atom
- N(E_F): 0.191 states/eV per atom

Cell: 4.2729 8.5903 9.5600 Å, 102.72 102.91 90.00°
Positions (direct):
Pm1 0.3294 0.9016 0.6589
Pm2 0.6700 0.5774 0.3400
Pm3 0.6706 0.0984 0.3411
Pm4 0.0055 0.2601 0.0110
Pm5 0.9945 0.7399 0.9890
Pm6 0.3300 0.4226 0.6600
Si1 0.8327 0.6649 0.6653
Si2 0.1673 0.3351 0.3347
Sb1 0.5000 0.0000 0.0000
Se1 0.5000 0.5000 0.0000
Se2 0.8354 0.1661 0.6708
Se3 0.1646 0.8339 0.3292

---

VASP calculation (PBE-GGA) on crystalline Pm6Sn2SbSe3 at its relaxed geometry.

Output
- ΔE_f (raw): -1.366 eV/atom
- Space group: C2/m (12)
- V: 29.36 Å³/atom
- Electronic total energy: -5.623 eV/atom
- N(E_F): 0.219 states/eV per atom

Cell: 4.3675 8.7188 9.7429 Å, 102.66 102.95 90.00°
Positions (direct):
Pm1 0.3312 0.9191 0.6623
Pm2 0.6647 0.5877 0.3294
Pm3 0.6688 0.0809 0.3377
Pm4 0.9996 0.2555 0.9992
Pm5 0.0004 0.7445 0.0008
Pm6 0.3353 0.4123 0.6706
Sn1 0.8330 0.6663 0.6661
Sn2 0.1670 0.3337 0.3339
Sb1 0.5000 0.0000 0.0000
Se1 0.5000 0.5000 0.0000
Se2 0.8343 0.1662 0.6686
Se3 0.1657 0.8338 0.3314

---

VASP calculation (PBE-GGA) on crystalline Pm4SbTe2Se at its relaxed geometry.

Output
- ΔE_f (raw): -1.479 eV/atom
- Space group: P2/m (10)
- V: 30.43 Å³/atom
- Electronic total energy: -5.591 eV/atom
- N(E_F): 0.478 states/eV per atom

Cell: 4.3857 7.7245 7.6035 Å, 70.90 90.00 90.00°
Positions (direct):
Pm1 0.0000 0.7255 0.7683
Pm2 0.0000 0.2745 0.2317
Pm3 0.5000 0.7326 0.2451
Pm4 0.5000 0.2674 0.7549
Sb1 0.0000 0.5000 0.5000
Te1 0.0000 0.0000 0.0000
Te2 0.5000 0.0000 0.5000
Se1 0.5000 0.5000 0.0000

---

Going through the records in order, we get magnetic moment values of 0.00 0.00 0.00 μB per formula unit.